Entry 1:
Li5In4Rh2 | PBE | relaxed

The calculation puts the total energy at -37.4 eV for the cell shown. Its crystal system is monoclinic. As for the space group: C2/m (12).

Cell lengths 9.932, 9.932, 7.048 Å; angles 98.07, 98.07, 17.88 degrees
Sites, in units of the cell vectors:
Li  0.000  0.000  0.000
Li  0.287  0.287  0.166
Li  0.328  0.328  0.570
Li  0.672  0.672  0.430
Li  0.713  0.713  0.834
In  0.141  0.141  0.091
In  0.438  0.438  0.309
In  0.562  0.562  0.691
In  0.859  0.859  0.909
Rh  0.057  0.057  0.363
Rh  0.943  0.943  0.637

=====

Entry 2:
Ho12TlFe6 | PBE | relaxed

The calculation puts the total energy at -109.6 eV for the cell shown. Its crystal system is cubic. As for the space group: Im-3 (204).

Cell lengths 8.362, 8.362, 8.362 Å; angles 109.47, 109.47, 109.47 degrees
Sites, in units of the cell vectors:
Ho  0.104  0.299  0.805
Ho  0.195  0.493  0.299
Ho  0.195  0.896  0.701
Ho  0.299  0.195  0.493
Ho  0.299  0.805  0.104
Ho  0.493  0.299  0.195
Ho  0.507  0.701  0.805
Ho  0.701  0.195  0.896
Ho  0.701  0.805  0.507
Ho  0.805  0.104  0.299
Ho  0.805  0.507  0.701
Ho  0.896  0.701  0.195
Tl  0.000  0.000  0.000
Fe  0.110  0.500  0.610
Fe  0.390  0.890  0.500
Fe  0.500  0.390  0.890
Fe  0.500  0.610  0.110
Fe  0.610  0.110  0.500
Fe  0.890  0.500  0.390

=====

Entry 3:
Sm3Er4Se8 | PBE | relaxed

The calculation puts the total energy at -87.6 eV for the cell shown. Its uncorrected formation energy is -1.82 eV per atom. Its crystal system is monoclinic. As for the space group: C2/m (12).

Cell lengths 8.178, 8.178, 8.163 Å; angles 119.90, 119.90, 90.03 degrees
Sites, in units of the cell vectors:
Sm  0.000  0.000  0.000
Sm  0.000  0.500  0.000
Sm  0.500  0.000  0.000
Er  0.000  0.500  0.500
Er  0.500  0.000  0.500
Er  0.500  0.500  0.000
Er  0.500  0.500  0.500
Se  0.250  0.750  0.500
Se  0.253  0.253  0.508
Se  0.254  0.254  0.000
Se  0.254  0.746  0.000
Se  0.746  0.254  0.000
Se  0.746  0.746  0.000
Se  0.747  0.747  0.492
Se  0.750  0.250  0.500

=====

Entry 4:
SnPdPb2 | PBE | relaxed

The calculation puts the total energy at -32.4 eV for the cell shown. Its crystal system is tetragonal. As for the space group: I-42d (122).

Cell lengths 11.260, 11.260, 11.260 Å; angles 157.32, 157.32, 32.30 degrees
Sites, in units of the cell vectors:
Sn  0.000  0.000  0.000
Sn  0.750  0.250  0.500
Pd  0.250  0.750  0.500
Pd  0.500  0.500  0.000
Pb  0.136  0.625  0.011
Pb  0.375  0.386  0.511
Pb  0.614  0.125  0.989
Pb  0.875  0.864  0.489

=====

Entry 5:
Rb2BaAlCl6 | PBE | relaxed

The calculation puts the total energy at -36.1 eV for the cell shown. Its uncorrected formation energy is -1.74 eV per atom. Its crystal system is cubic. As for the space group: Fm-3m (225).

Cell lengths 7.882, 7.882, 7.882 Å; angles 60.00, 60.00, 60.00 degrees
Sites, in units of the cell vectors:
Rb  0.250  0.250  0.250
Rb  0.750  0.750  0.750
Ba  0.000  0.000  0.000
Al  0.500  0.500  0.500
Cl  0.270  0.270  0.730
Cl  0.270  0.730  0.270
Cl  0.270  0.730  0.730
Cl  0.730  0.270  0.270
Cl  0.730  0.270  0.730
Cl  0.730  0.730  0.270

=====

Entry 6:
ScTi2F | PBE | relaxed

The calculation puts the total energy at -52.9 eV for the cell shown. Its uncorrected formation energy is -0.62 eV per atom. Its energy above the most stable polymorph in this dataset is 0.000 eV/atom. Its crystal system is tetragonal. As for the space group: I-42d (122).

Cell lengths 5.758, 5.758, 5.758 Å; angles 99.61, 99.61, 131.77 degrees
Sites, in units of the cell vectors:
Sc  0.000  0.000  0.000
Sc  0.750  0.250  0.500
Ti  0.227  0.125  0.602
Ti  0.375  0.773  0.898
Ti  0.523  0.625  0.398
Ti  0.875  0.477  0.102
F  0.250  0.750  0.500
F  0.500  0.500  0.000

=====

Entry 7:
RbC2Br | PBE | relaxed

The calculation puts the total energy at -23.2 eV for the cell shown. Its uncorrected formation energy is 2.38 eV per atom. Its energy above the most stable polymorph in this dataset is 0.000 eV/atom. Its crystal system is tetragonal. As for the space group: I-42d (122).

Cell lengths 5.983, 5.983, 5.983 Å; angles 112.81, 112.81, 102.99 degrees
Sites, in units of the cell vectors:
Rb  0.000  0.000  0.000
Rb  0.750  0.250  0.500
C  0.239  0.625  0.114
C  0.375  0.489  0.614
C  0.511  0.125  0.886
C  0.875  0.761  0.386
Br  0.250  0.750  0.500
Br  0.500  0.500  0.000

=====

Entry 8:
Li4PmHo | PBE | relaxed

The calculation puts the total energy at -16.3 eV for the cell shown. Its crystal system is cubic. As for the space group: F-43m (216).

Cell lengths 5.872, 5.872, 5.872 Å; angles 60.00, 60.00, 60.00 degrees
Sites, in units of the cell vectors:
Li  0.125  0.125  0.125
Li  0.125  0.125  0.626
Li  0.125  0.626  0.125
Li  0.626  0.125  0.125
Pm  0.500  0.500  0.500
Ho  0.750  0.750  0.750